(1)
PrTmSe3: optimized geometry, PBE.

Cell: 7.749 4.151 16.063 Å, 90.00 90.00 90.00°
Space group Pnma (No. 62)
Symmetry-distinct sites (fractional):
1 Pr 0.141 0.250 0.200 x4
2 Tm 0.227 0.750 0.458 x4
3 Se 0.010 0.250 0.396 x4
4 Se 0.123 0.750 0.060 x4
5 Se 0.152 0.250 0.786 x4

Summary:
* volume: 517 Å³ per cell
* mass density: 7.0 g/cm3
* energy above the lowest structure with this stoichiometry: 0.0 meV per atom
* ΔE_f (raw): -9.37 eV/f.u.
* total magnetic moment: 0.00 Bohr magnetons per cell

(2)
PrTmSe2: optimized geometry, PBE.

Cell: 4.0655 4.0655 21.0851 Å, 90.00 90.00 120.00°
Space group R-3m (No. 166, hexagonal axes)
Symmetry-distinct sites (fractional):
1 Pr 0.0000 0.0000 0.0000 x3
2 Tm 0.0000 0.0000 0.5000 x3
3 Se 0.0000 0.0000 0.2420 x6

Summary:
* volume: 302 Å³ per cell
* D(E_F): 0.429 states/eV/atom
* mass density: 7.7 g/cm3
* energy above the lowest structure with this stoichiometry: 0.0 meV per atom
* ΔE_f (raw): -7.07 eV/f.u.
* total magnetic moment: 0.00 Bohr magnetons per cell

(3)
PrTmSe2: optimized geometry, PBE.

Cell: 3.9865 3.9865 22.1484 Å, 90.00 90.00 120.00°
Space group R3m (No. 160, hexagonal axes)
Symmetry-distinct sites (fractional):
1 Pr 0.0000 0.0000 0.0000 x3
2 Tm 0.0000 0.0000 0.8241 x3
3 Se 0.0000 0.0000 0.4172 x3
4 Se 0.0000 0.0000 0.5737 x3

Summary:
* volume: 305 Å³ per cell
* D(E_F): 0.385 states/eV/atom
* mass density: 7.6 g/cm3
* energy above the lowest structure with this stoichiometry: 50.2 meV per atom
* ΔE_f (raw): -6.87 eV/f.u.
* total magnetic moment: 0.00 Bohr magnetons per cell

(4)
PrY2TmSe6: optimized geometry, PBE.

Cell: 7.2730 7.2730 19.5096 Å, 90.00 90.00 120.00°
Space group R3 (No. 146, hexagonal axes)
Symmetry-distinct sites (fractional):
1 Pr 0.0000 0.0000 0.0000 x3
2 Y 0.0000 0.0000 0.2960 x3
3 Y 0.0000 0.0000 0.8006 x3
4 Tm 0.0000 0.0000 0.4931 x3
5 Se 0.0189 0.7133 0.3961 x9
6 Se 0.0247 0.3549 0.5615 x9

Summary:
* volume: 894 Å³ per cell
* D(E_F): 0.000 states/eV/atom
* mass density: 5.4 g/cm3
* ΔE_f (raw): -18.46 eV/f.u.
* total magnetic moment: 0.00 Bohr magnetons per cell

(5)
Pr2YTmSe5: optimized geometry, PBE.

Cell: 5.066 5.066 10.712 Å, 90.00 90.00 90.00°
Space group P4/mmm (No. 123)
Symmetry-distinct sites (fractional):
1 Pr 0.000 0.000 0.201 x2
2 Y 0.500 0.500 0.500 x1
3 Tm 0.500 0.500 0.000 x1
4 Se 0.000 0.000 0.500 x1
5 Se 0.000 0.500 0.000 x2
6 Se 0.500 0.500 0.254 x2

Summary:
* volume: 275 Å³ per cell
* D(E_F): 0.721 states/eV/atom
* mass density: 5.6 g/cm3
* ΔE_f (raw): -11.99 eV/f.u.
* total magnetic moment: 0.00 Bohr magnetons per cell

(6)
Pr3YTm2Se6: optimized geometry, PBE.

Cell: 7.072 12.295 7.387 Å, 90.00 108.70 90.00°
Space group C2/m (No. 12)
Symmetry-distinct sites (fractional):
1 Pr 0.000 0.000 0.000 x2
2 Pr 0.000 0.336 0.000 x4
3 Y 0.000 0.500 0.500 x2
4 Tm 0.000 0.166 0.500 x4
5 Se 0.238 0.000 0.727 x4
6 Se 0.245 0.331 0.729 x8

Summary:
* volume: 608 Å³ per cell
* D(E_F): 0.443 states/eV/atom
* mass density: 7.2 g/cm3
* ΔE_f (raw): -21.39 eV/f.u.
* total magnetic moment: 0.00 Bohr magnetons per cell